VASP calculation (meta-GGA SCAN) on a PBEsol-optimized structure of MgTaFe2Ge.

```
5
Lattice="4.419 0.000 0.000 0.000 4.419 0.000 0.000 0.000 5.263" Properties=species:S:1:pos:R:3 pbc="T T T"
Mg 0.000 0.000 0.000
Ta 0.000 0.000 2.631
Fe 0.000 2.209 2.631
Fe 2.209 0.000 2.631
Ge 2.209 2.209 0.000
```

Computed properties:
E_form = 1.52 eV per atom
Magnetization = 3.7 μB per cell

=====

VASP calculation (meta-GGA SCAN) on a PBEsol-optimized structure of Mn2FeGe5.

```
32
Lattice="5.594 0.000 0.000 0.000 5.594 0.000 0.000 0.000 13.490" Properties=species:S:1:pos:R:3 pbc="T T T"
Mn 0.000 0.000 0.000
Mn 0.000 0.000 4.413
Mn 0.000 0.000 9.077
Mn 0.000 2.797 3.373
Mn 2.797 0.000 10.118
Mn 2.797 2.797 2.332
Mn 2.797 2.797 6.745
Mn 2.797 2.797 11.158
Fe 0.000 2.797 7.908
Fe 0.000 2.797 12.327
Fe 2.797 0.000 1.163
Fe 2.797 0.000 5.582
Ge 0.865 1.516 6.033
Ge 0.897 4.496 2.049
Ge 0.985 3.782 10.118
Ge 1.098 0.897 11.441
Ge 1.281 1.932 0.712
Ge 1.516 4.729 7.457
Ge 1.699 3.694 4.696
Ge 1.812 0.985 3.373
Ge 1.900 1.699 8.794
Ge 1.932 4.313 12.778
Ge 3.662 1.281 12.778
Ge 3.694 3.895 8.794
Ge 3.782 4.609 3.373
Ge 3.895 1.900 4.696
Ge 4.078 0.865 7.457
Ge 4.313 3.662 0.712
Ge 4.496 4.697 11.441
Ge 4.609 1.812 10.118
Ge 4.697 1.098 2.049
Ge 4.729 4.078 6.033
```

Computed properties:
E_form = -0.07 eV per atom
Magnetization = 0.0 μB per cell

=====

VASP calculation (meta-GGA SCAN) on a PBEsol-optimized structure of Mn4FeGe3.

```
16
Lattice="6.995 0.000 0.000 -3.497 6.058 0.000 0.000 0.000 4.819" Properties=species:S:1:pos:R:3 pbc="T T T"
Mn -0.842 1.459 1.228
Mn -2.655 4.599 3.591
Mn 1.684 0.000 1.228
Mn 0.842 1.459 3.591
Mn 0.000 4.039 2.409
Mn 3.497 2.019 2.409
Mn 5.311 0.000 3.591
Mn 2.655 4.599 1.228
Fe 0.000 4.039 0.000
Fe 3.497 2.019 0.000
Ge -1.381 2.392 3.633
Ge -2.117 3.666 1.186
Ge 2.762 0.000 3.633
Ge 1.381 2.392 1.186
Ge 4.233 0.000 1.186
Ge 2.117 3.666 3.633
```

Computed properties:
E_form = -0.31 eV per atom
Magnetization = 28.2 μB per cell

=====

VASP calculation (meta-GGA SCAN) on a PBEsol-optimized structure of FeGeMoOs2.

```
5
Lattice="4.356 0.000 0.000 0.000 4.356 0.000 0.000 0.000 4.238" Properties=species:S:1:pos:R:3 pbc="T T T"
Fe 0.000 0.000 0.000
Ge 0.000 0.000 2.119
Mo 2.178 2.178 2.119
Os 0.000 2.178 0.000
Os 2.178 0.000 0.000
```

Computed properties:
E_form = 1.52 eV per atom
Magnetization = 3.1 μB per cell